No. 1
Computed, not measured: a relaxed structure of Ac2Pm2Ge2N at the GGA-PBE level of DFT.

Its crystal system is tetragonal. The total magnetic moment comes out at 0.065 μB per atom. The formation energy without anion corrections comes out at -0.905 eV per atom. As for the raw total energy: -5.945 eV/atom.

It has space group I4/mmm (No. 139), with a = 4.842 Å, b = 4.842 Å, c = 16.695 Å, α = 90.00°, β = 90.00° and γ = 90.00°. The inequivalent atoms are Ac at (0.000, 0.000, 0.172), Pm at (0.000, 0.500, 0.000), Ge at (0.000, 0.000, 0.370) and N at (0.000, 0.000, 0.000).

No. 2
Computed, not measured: a relaxed structure of Tl2PW at the GGA-PBE level of DFT.

Its crystal system is orthorhombic. The total magnetic moment comes out at 0.000 μB per atom. As for the raw total energy: -5.358 eV/atom. For the energy above the most stable polymorph in this dataset, the calculation gives 200.3 meV/atom.

It has space group Cmm2 (No. 35), with a = 3.414 Å, b = 5.083 Å, c = 10.556 Å, α = 90.00°, β = 90.00° and γ = 90.00°. The inequivalent atoms are Tl at (0.000, 0.000, 0.000), Tl at (0.000, 0.500, 0.316), P at (0.000, 0.500, 0.716) and W at (0.000, 0.000, 0.560).

No. 3
Computed, not measured: a relaxed structure of HoErTmTe at the GGA-PBE level of DFT.

Its crystal system is monoclinic. The total magnetic moment comes out at 0.000 μB per atom. The formation energy without anion corrections comes out at -0.508 eV per atom. As for the raw total energy: -4.696 eV/atom.

It has space group Cm (No. 8), with a = 11.939 Å, b = 3.742 Å, c = 5.865 Å, α = 90.00°, β = 119.26° and γ = 90.00°. The inequivalent atoms are Ho at (0.000, 0.000, 0.000), Er at (0.275, 0.500, 0.162), Tm at (0.050, 0.500, 0.549) and Te at (0.275, 0.000, 0.591).

No. 4
Computed, not measured: a relaxed structure of PmS3O9 at the GGA-PBE level of DFT.

Its crystal system is orthorhombic. The total magnetic moment comes out at 0.077 μB per atom. The formation energy without anion corrections comes out at -1.582 eV per atom. As for the raw total energy: -6.332 eV/atom.

It has space group C222_1 (No. 20), with a = 9.371 Å, b = 11.386 Å, c = 7.333 Å, α = 90.00°, β = 90.00° and γ = 90.00°. The inequivalent atoms are Pm at (0.114, 0.000, 0.000), S at (0.049, 0.319, 0.448), S at (0.225, 0.000, 0.500), O at (0.000, 0.377, 0.250), O at (0.022, 0.193, 0.437), O at (0.035, 0.380, 0.920), O at (0.124, 0.014, 0.667) and O at (0.203, 0.349, 0.455).

No. 5
Computed, not measured: a relaxed structure of CePmEuHo at the GGA-PBE level of DFT.

Its crystal system is cubic. The total magnetic moment comes out at 2.324 μB per atom. As for the raw total energy: -6.152 eV/atom.

It has space group F-43m (No. 216), with a = 8.186 Å, b = 8.186 Å, c = 8.186 Å, α = 90.00°, β = 90.00° and γ = 90.00°. The inequivalent atoms are Ce at (0.000, 0.000, 0.000), Pm at (0.250, 0.250, 0.750), Eu at (0.000, 0.000, 0.500) and Ho at (0.250, 0.250, 0.250).

No. 6
Computed, not measured: a relaxed structure of CsY2HfSe at the GGA-PBE level of DFT.

Its crystal system is tetragonal. The total magnetic moment comes out at 0.000 μB per atom. The formation energy without anion corrections comes out at 1.585 eV per atom. As for the raw total energy: -3.859 eV/atom.

It has space group P4/mmm (No. 123), with a = 5.634 Å, b = 5.634 Å, c = 5.247 Å, α = 90.00°, β = 90.00° and γ = 90.00°. The inequivalent atoms are Cs at (0.000, 0.000, 0.000), Y at (0.000, 0.500, 0.000), Hf at (0.000, 0.000, 0.500) and Se at (0.500, 0.500, 0.500).

No. 7
Computed, not measured: a relaxed structure of LiTiFeIr at the GGA-PBE level of DFT.

Its crystal system is cubic. The total magnetic moment comes out at 0.374 μB per atom. As for the raw total energy: -7.037 eV/atom.

It has space group F-43m (No. 216), with a = 5.965 Å, b = 5.965 Å, c = 5.965 Å, α = 90.00°, β = 90.00° and γ = 90.00°. The inequivalent atoms are Li at (0.000, 0.000, 0.000), Ti at (0.000, 0.000, 0.500), Fe at (0.250, 0.250, 0.750) and Ir at (0.250, 0.250, 0.250).

No. 8
Computed, not measured: a relaxed structure of Ag2PRh at the GGA-PBE level of DFT.

Its crystal system is trigonal. The total magnetic moment comes out at 0.000 μB per atom. As for the raw total energy: -4.664 eV/atom.

It has space group R3m (No. 160, hexagonal axes), with a = 3.0031 Å, b = 3.0031 Å, c = 25.4824 Å, α = 90.00°, β = 90.00° and γ = 120.00°. The inequivalent atoms are Ag at (0.0000, 0.0000, 0.0000), Ag at (0.0000, 0.0000, 0.2410), P at (0.0000, 0.0000, 0.4844) and Rh at (0.0000, 0.0000, 0.7586).

No. 9
Computed, not measured: a relaxed structure of LaHg2Cl at the GGA-PBE level of DFT.

Its crystal system is tetragonal. The total magnetic moment comes out at 0.000 μB per atom. The formation energy without anion corrections comes out at -0.699 eV per atom. As for the raw total energy: -2.544 eV/atom. For the energy above the most stable polymorph in this dataset, the calculation gives 140.1 meV/atom.

It has space group I-42d (No. 122), with a = 9.456 Å, b = 9.456 Å, c = 5.679 Å, α = 90.00°, β = 90.00° and γ = 90.00°. The inequivalent atoms are La at (0.000, 0.000, 0.000), Hg at (0.223, 0.250, 0.125) and Cl at (0.000, 0.000, 0.500).

No. 10
Computed, not measured: a relaxed structure of TbPm4Se5 at the GGA-PBE level of DFT.

Its crystal system is orthorhombic. The total magnetic moment comes out at 0.000 μB per atom. The formation energy without anion corrections comes out at -1.818 eV per atom. As for the raw total energy: -5.923 eV/atom. For the energy above the most stable polymorph in this dataset, the calculation gives 3.9 meV/atom.

It has space group Immm (No. 71), with a = 4.173 Å, b = 5.898 Å, c = 20.939 Å, α = 90.00°, β = 90.00° and γ = 90.00°. The inequivalent atoms are Tb at (0.000, 0.000, 0.000), Pm at (0.000, 0.000, 0.199), Pm at (0.000, 0.000, 0.400), Se at (0.000, 0.500, 0.000), Se at (0.000, 0.500, 0.201) and Se at (0.000, 0.500, 0.403).

No. 11
Computed, not measured: a relaxed structure of MgAlS2Cl at the GGA-PBE level of DFT.

Its crystal system is tetragonal. The total magnetic moment comes out at 0.000 μB per atom. The formation energy without anion corrections comes out at -0.642 eV per atom. As for the raw total energy: -3.730 eV/atom. For the energy above the most stable polymorph in this dataset, the calculation gives 0.0 meV/atom.

It has space group P4/mmm (No. 123), with a = 4.709 Å, b = 4.709 Å, c = 4.577 Å, α = 90.00°, β = 90.00° and γ = 90.00°. The inequivalent atoms are Mg at (0.000, 0.000, 0.000), Al at (0.500, 0.500, 0.500), S at (0.000, 0.500, 0.500) and Cl at (0.500, 0.500, 0.000).

No. 12
Computed, not measured: a relaxed structure of TbDyZnCd at the GGA-PBE level of DFT.

Its crystal system is tetragonal. The total magnetic moment comes out at 0.000 μB per atom. As for the raw total energy: -3.187 eV/atom. For the energy above the most stable polymorph in this dataset, the calculation gives 0.0 meV/atom.

It has space group P4mm (No. 99), with a = 3.602 Å, b = 3.602 Å, c = 7.566 Å, α = 90.00°, β = 90.00° and γ = 90.00°. The inequivalent atoms are Tb at (0.000, 0.000, 0.000), Dy at (0.000, 0.000, 0.460), Zn at (0.500, 0.500, 0.232) and Cd at (0.500, 0.500, 0.728).

No. 13
Computed, not measured: a relaxed structure of Pu3InPt8 at the GGA-PBE level of DFT.

Its crystal system is trigonal. The total magnetic moment comes out at 1.299 μB per atom. As for the raw total energy: -8.594 eV/atom.

It has space group R3m (No. 160, hexagonal axes), with a = 5.4394 Å, b = 5.4394 Å, c = 26.5806 Å, α = 90.00°, β = 90.00° and γ = 120.00°. The inequivalent atoms are Pu at (0.0000, 0.0000, 0.0000), Pu at (0.0000, 0.0000, 0.1261), Pu at (0.0000, 0.0000, 0.5039), In at (0.0000, 0.0000, 0.6292), Pt at (0.0000, 0.0000, 0.3143), Pt at (0.0000, 0.0000, 0.8145), Pt at (0.0003, 0.5002, 0.0647) and Pt at (0.1673, 0.3346, 0.8975).

No. 14
Computed, not measured: a relaxed structure of TbY7Er3 at the GGA-PBE level of DFT.

Its crystal system is monoclinic. The total magnetic moment comes out at 0.033 μB per atom. As for the raw total energy: -5.513 eV/atom. For the energy above the most stable polymorph in this dataset, the calculation gives 119.3 meV/atom.

It has space group C2/m (No. 12), with a = 12.536 Å, b = 11.245 Å, c = 5.776 Å, α = 90.00°, β = 117.37° and γ = 90.00°. The inequivalent atoms are Tb at (0.000, 0.000, 0.000), Y at (0.000, 0.000, 0.500), Y at (0.197, 0.298, 0.197), Y at (0.206, 0.500, 0.705), Er at (0.000, 0.293, 0.500) and Er at (0.000, 0.500, 0.000).

No. 15
Computed, not measured: a relaxed structure of TcCIO2 at the GGA-PBE level of DFT.

Its crystal system is tetragonal. The total magnetic moment comes out at 0.755 μB per atom. The formation energy without anion corrections comes out at 1.586 eV per atom. As for the raw total energy: -4.626 eV/atom. For the energy above the most stable polymorph in this dataset, the calculation gives 1159.4 meV/atom.

It has space group P4/mmm (No. 123), with a = 3.886 Å, b = 3.886 Å, c = 4.374 Å, α = 90.00°, β = 90.00° and γ = 90.00°. The inequivalent atoms are Tc at (0.000, 0.000, 0.000), C at (0.500, 0.500, 0.500), I at (0.500, 0.500, 0.000) and O at (0.000, 0.500, 0.500).

No. 16
Computed, not measured: a relaxed structure of Pr2Si3Pt2 at the GGA-PBE level of DFT.

Its crystal system is orthorhombic. The total magnetic moment comes out at 0.000 μB per atom. The formation energy without anion corrections comes out at -0.941 eV per atom. As for the raw total energy: -6.357 eV/atom. For the energy above the most stable polymorph in this dataset, the calculation gives 0.0 meV/atom.

It has space group Cmcm (No. 63), with a = 4.332 Å, b = 18.046 Å, c = 7.007 Å, α = 90.00°, β = 90.00° and γ = 90.00°. The inequivalent atoms are Pr at (0.000, 0.056, 0.250), Pr at (0.000, 0.153, 0.750), Si at (0.000, 0.226, 0.250), Si at (0.000, 0.440, 0.071) and Pt at (0.000, 0.308, 0.547).

No. 17
Computed, not measured: a relaxed structure of NaYZr at the GGA-PBE level of DFT.

Its crystal system is hexagonal. The total magnetic moment comes out at 0.660 μB per atom. As for the raw total energy: -4.727 eV/atom. For the energy above the most stable polymorph in this dataset, the calculation gives 622.5 meV/atom.

It has space group P6_3/mmc (No. 194), with a = 5.5665 Å, b = 5.5665 Å, c = 6.9702 Å, α = 90.00°, β = 90.00° and γ = 120.00°. The inequivalent atoms are Na at (0.3333, 0.6667, 0.2500), Y at (0.0000, 0.0000, 0.0000) and Zr at (0.3333, 0.6667, 0.7500).

No. 18
Computed, not measured: a relaxed structure of ZrPaRu at the GGA-PBE level of DFT.

Its crystal system is trigonal. The total magnetic moment comes out at 0.000 μB per atom. As for the raw total energy: -9.262 eV/atom. For the energy above the most stable polymorph in this dataset, the calculation gives 142.4 meV/atom.

It has space group P3m1 (No. 156), with a = 4.6832 Å, b = 4.6832 Å, c = 3.1296 Å, α = 90.00°, β = 90.00° and γ = 120.00°. The inequivalent atoms are Zr at (0.0000, 0.0000, 0.0000), Pa at (0.3333, 0.6667, 0.3386) and Ru at (0.6667, 0.3333, 0.6102).

No. 19
Computed, not measured: a relaxed structure of SrHfNb2Rh at the GGA-PBE level of DFT.

Its crystal system is tetragonal. The total magnetic moment comes out at 0.000 μB per atom. As for the raw total energy: -7.192 eV/atom.

It has space group P4/mmm (No. 123), with a = 5.021 Å, b = 5.021 Å, c = 5.028 Å, α = 90.00°, β = 90.00° and γ = 90.00°. The inequivalent atoms are Sr at (0.000, 0.000, 0.000), Hf at (0.500, 0.500, 0.000), Nb at (0.000, 0.500, 0.500) and Rh at (0.500, 0.500, 0.500).

No. 20
Computed, not measured: a relaxed structure of Sr5Gd at the GGA-PBE level of DFT.

Its crystal system is orthorhombic. The total magnetic moment comes out at 1.280 μB per atom. As for the raw total energy: -3.642 eV/atom.

It has space group Cmmm (No. 65), with a = 6.657 Å, b = 19.923 Å, c = 4.453 Å, α = 90.00°, β = 90.00° and γ = 90.00°. The inequivalent atoms are Sr at (0.000, 0.000, 0.000), Sr at (0.000, 0.169, 0.500), Sr at (0.000, 0.344, 0.000) and Gd at (0.000, 0.500, 0.500).

No. 21
Computed, not measured: a relaxed structure of CdSb2Rh at the GGA-PBE level of DFT.

Its crystal system is tetragonal. The total magnetic moment comes out at 0.000 μB per atom. The formation energy without anion corrections comes out at 0.086 eV per atom. As for the raw total energy: -4.042 eV/atom.

It has space group I4/mmm (No. 139), with a = 4.692 Å, b = 4.692 Å, c = 7.811 Å, α = 90.00°, β = 90.00° and γ = 90.00°. The inequivalent atoms are Cd at (0.000, 0.000, 0.000), Sb at (0.000, 0.500, 0.250) and Rh at (0.000, 0.000, 0.500).

No. 22
Computed, not measured: a relaxed structure of Er2PaSbO8 at the GGA-PBE level of DFT.

Its crystal system is monoclinic. The total magnetic moment comes out at 0.000 μB per atom. The formation energy without anion corrections comes out at -2.982 eV per atom. As for the raw total energy: -8.182 eV/atom.

It has space group P2/m (No. 10), with a = 5.001 Å, b = 6.854 Å, c = 5.002 Å, α = 90.00°, β = 91.86° and γ = 90.00°. The inequivalent atoms are Er at (0.000, 0.240, 0.000), Pa at (0.500, 0.500, 0.500), Sb at (0.500, 0.000, 0.500), O at (0.198, 0.500, 0.199), O at (0.214, 0.000, 0.216) and O at (0.317, 0.231, 0.684).

No. 23
Computed, not measured: a relaxed structure of SbBr3F at the GGA-PBE level of DFT.

Its crystal system is triclinic. The total magnetic moment comes out at 0.000 μB per atom. The formation energy without anion corrections comes out at -0.822 eV per atom. As for the raw total energy: -3.024 eV/atom. For the energy above the most stable polymorph in this dataset, the calculation gives 0.0 meV/atom.

It has space group P1 (No. 1), with a = 6.351 Å, b = 6.823 Å, c = 8.097 Å, α = 87.10°, β = 86.36° and γ = 89.38°. The inequivalent atoms are Sb at (0.000, 0.000, 0.000), Sb at (0.047, 0.023, 0.495), Br at (0.241, 0.819, 0.736), Br at (0.272, 0.331, 0.516), Br at (0.302, 0.860, 0.271), Br at (0.628, 0.717, 0.042), Br at (0.779, 0.170, 0.743), Br at (0.810, 0.217, 0.270), F at (0.190, 0.224, 0.965) and F at (0.835, 0.817, 0.504).

No. 24
Computed, not measured: a relaxed structure of Ho4HgBiC at the GGA-PBE level of DFT.

Its crystal system is tetragonal. The total magnetic moment comes out at 0.000 μB per atom. As for the raw total energy: -5.029 eV/atom.

It has space group I4mm (No. 107), with a = 4.817 Å, b = 4.817 Å, c = 15.599 Å, α = 90.00°, β = 90.00° and γ = 90.00°. The inequivalent atoms are Ho at (0.000, 0.000, 0.000), Ho at (0.000, 0.000, 0.320), Ho at (0.000, 0.500, 0.153), Hg at (0.000, 0.000, 0.520), Bi at (0.000, 0.000, 0.797) and C at (0.000, 0.000, 0.160).

No. 25
Computed, not measured: a relaxed structure of BaV2HAu at the GGA-PBE level of DFT.

Its crystal system is tetragonal. The total magnetic moment comes out at 1.363 μB per atom. As for the raw total energy: -4.838 eV/atom.

It has space group P4/mmm (No. 123), with a = 4.397 Å, b = 4.397 Å, c = 5.093 Å, α = 90.00°, β = 90.00° and γ = 90.00°. The inequivalent atoms are Ba at (0.000, 0.000, 0.000), V at (0.000, 0.500, 0.500), H at (0.000, 0.000, 0.500) and Au at (0.500, 0.500, 0.000).